# 1
The following is a PBE-GGA calculation of UBeGe2 after structural relaxation, from Alexandria.

Values from the calculation:
SG: No. 166
ΔE_f (eV/atom): 0.789
Energy above the most stable polymorph in this dataset (eV per atom): 0.861

```
4
Lattice="4.419 0.000 0.000 2.209 3.827 0.000 2.209 1.276 6.686" Properties=species:S:1:pos:R:3 pbc="T T T"
Be 0.000 0.000 0.000
U 4.419 2.551 3.343
Ge 2.209 1.276 4.537
Ge 6.628 3.827 2.149
```

---

# 2
The following is a PBE-GGA calculation of Er5SbTe4 after structural relaxation, from Alexandria.

Values from the calculation:
SG: No. 139
Formation energy from raw total energies (meV/atom): -1210

```
10
Lattice="4.286 0.000 0.000 0.000 4.286 0.000 -2.143 -2.143 15.627" Properties=species:S:1:pos:R:3 pbc="T T T"
Er 2.143 2.143 0.000
Er 0.000 0.000 2.927
Er 0.000 0.000 9.079
Er 2.143 2.143 12.700
Er 2.143 2.143 6.548
Te 2.143 2.143 9.579
Te 0.000 0.000 6.048
Te 0.000 0.000 12.386
Te 2.143 2.143 3.241
Sb 0.000 0.000 0.000
```

---

Size of the total moment: 0.0194; 0.0000 (μB/atom)